Version 1
Here is crystalline CoC2 at its relaxed geometry from Alexandria via LeMat-Bulk. Energies are from GGA-PBE.

Cell lengths 3.1647, 3.1647, 5.1135 Å; angles 90.00, 90.00, 90.00 degrees
Closest atoms and distances in Å follow each position.
Space group I4/mmm (No. 139)
Inequivalent atoms, fractional coordinates:
Co  0.0000  0.0000  0.0000 x2  2 C 1.90
C  0.0000  0.0000  0.3723 x4  1 C 1.31

***

Version 2
Here is crystalline CoC2 at its relaxed geometry from Alexandria via LeMat-Bulk. Energies are from GGA-PBE.

Cell lengths 2.6954, 13.3637, 2.5734 Å; angles 90.00, 90.00, 90.00 degrees
Closest atoms and distances in Å follow each position.
Space group Cmcm (No. 63)
Inequivalent atoms, fractional coordinates:
Co  0.0000  0.1417  0.2500 x4  6 C 1.92-2.04
C  0.0000  0.2480  0.7500 x4  4 C 1.86, 4 Co 1.92-2.00
C  0.0000  0.4734  0.7500 x4  2 C 1.47

***

Version 3
Here is crystalline CoC2 at its relaxed geometry from Alexandria via LeMat-Bulk. Energies are from GGA-PBE.

Cell lengths 2.7164, 2.7164, 12.3213 Å; angles 90.00, 90.00, 120.00 degrees
Closest atoms and distances in Å follow each position.
Space group P-3m1 (No. 164)
Inequivalent atoms, fractional coordinates:
Co  0.0000  0.0000  0.0000 x1  6 C 1.98
Co  0.3333  0.6667  0.3525 x2  4 C 1.82-1.92
C  0.0000  0.0000  0.4427 x2  1 C 1.41
C  0.3333  0.6667  0.0983 x2  1 C 1.31
C  0.3333  0.6667  0.2050 x2  1 C 1.31

***

Version 4
Here is crystalline CoC2 at its relaxed geometry from Alexandria via LeMat-Bulk. Energies are from GGA-PBE.

Cell lengths 7.3232, 2.5585, 3.2507 Å; angles 90.00, 90.18, 90.00 degrees
Closest atoms and distances in Å follow each position.
Space group C2/m (No. 12)
Inequivalent atoms, fractional coordinates:
Co  0.0000  0.0000  0.0000 x2  6 C 2.02-2.10
C  0.2135  0.5000  0.9999 x4  2 C 1.39

***

Tell me which of them is the least stable. Sure, it is version 1.

***

Version 1
Here is crystalline CoC5 at its relaxed geometry from Alexandria via LeMat-Bulk. Energies are from GGA-PBE.

Cell lengths 6.6208, 2.6033, 5.2629 Å; angles 90.00, 92.51, 90.00 degrees
Closest atoms and distances in Å follow each position.
Space group Cm (No. 8)
Inequivalent atoms, fractional coordinates:
Co  0.0000  0.0000  0.0000 x2  8 C 1.93-2.09
C  0.1034  0.5000  0.2578 x2  2 C 1.47-1.53
C  0.2700  0.0000  0.8754 x2  1 C 1.33
C  0.3227  0.5000  0.3157 x2  3 C 1.47-1.57
C  0.4150  0.0000  0.7093 x2  2 C 1.33-1.48
C  0.4233  0.0000  0.4292 x2  4 C 1.48-1.57

***

Version 2
Here is crystalline CoC5 at its relaxed geometry from Alexandria via LeMat-Bulk. Energies are from GGA-PBE.

Cell lengths 2.4606, 3.1679, 13.3799 Å; angles 90.00, 90.00, 90.00 degrees
Closest atoms and distances in Å follow each position.
Space group Amm2 (No. 38)
Inequivalent atoms, fractional coordinates:
Co  0.0000  0.0000  0.0000 x2  2 C 1.84
C  0.0000  0.0000  0.2597 x2  3 C 1.43
C  0.0000  0.0000  0.3667 x2  3 C 1.43-1.44
C  0.5000  0.0000  0.1021 x2  1 C 1.39
C  0.5000  0.0000  0.2058 x2  3 C 1.39-1.43
C  0.5000  0.0000  0.4229 x2  2 C 1.44

***

Tell me which of them is the least stable. Sure, it is version 1.